Entry 1:
Compound: Cu2Rh
Source: the Alexandria database
Functional: PBE
Structure: relaxed

Properties
calculated formation energy: 0.184 eV/f.u.
raw total energy: -122.9 eV for the cell shown
E above lowest polymorph: 23 meV/atom

Lattice parameters (Å, degrees): 3.7076 3.7076 22.4168 90.00 90.00 90.00
With the nearest neighbours (Å) after each atom.
Space group I4_1/amd (No. 141, origin choice 2)
One atom of each set of equivalent atoms:
Cu 0.0000 0.2500 0.1240  8 Cu 2.60-2.63, 4 Rh 2.60-2.63
Cu 0.0000 0.2500 0.7930  6 Cu 2.60-2.68, 6 Rh 2.62-2.67
Rh 0.0000 0.2500 0.2927  10 Cu 2.60-2.67, 2 Rh 2.66

=====

Entry 2:
Compound: Cu3Rh4
Source: the Alexandria database
Functional: PBE
Structure: relaxed

Properties
calculated formation energy: 1.145 eV/f.u.
raw total energy: -40.5 eV for the cell shown
E above lowest polymorph: 110 meV/atom

Lattice parameters (Å, degrees): 4.7088 4.7088 4.9199 90.00 90.00 120.00
With the nearest neighbours (Å) after each atom.
Space group P6/mmm (No. 191)
One atom of each set of equivalent atoms:
Cu 0.0000 0.5000 0.0000  4 Cu 2.35
Rh 0.0000 0.0000 0.2565  2 Rh 2.40-2.52, 6 Cu 2.67
Rh 0.3333 0.6667 0.5000  9 Rh 2.72-2.97, 6 Cu 2.81

=====

Entry 3:
Compound: Cu3Rh
Source: the Alexandria database
Functional: PBE
Structure: relaxed

Properties
calculated formation energy: 0.241 eV/f.u.
raw total energy: -77.6 eV for the cell shown

Lattice parameters (Å, degrees): 5.8785 5.8785 5.8785 90.00 90.00 90.00
With the nearest neighbours (Å) after each atom.
Space group Fm-3m (No. 225)
One atom of each set of equivalent atoms:
Cu 0.0000 0.0000 0.0000  8 Cu 2.55
Cu 0.2500 0.2500 0.2500  4 Rh 2.55, 4 Cu 2.55
Rh 0.0000 0.0000 0.5000  8 Cu 2.55

=====

Entry 4:
Compound: Cu2Rh
Source: the Alexandria database
Functional: PBE
Structure: relaxed

Properties
calculated formation energy: 0.156 eV/f.u.
raw total energy: -61.6 eV for the cell shown
E above lowest polymorph: 14 meV/atom

Lattice parameters (Å, degrees): 9.6957 2.6740 6.2185 90.00 106.44 90.00
With the nearest neighbours (Å) after each atom.
Space group C2/m (No. 12)
One atom of each set of equivalent atoms:
Cu 0.0251 0.0000 0.2895  7 Cu 2.55-2.79, 5 Rh 2.63-2.67
Cu 0.1407 0.5000 0.0301  9 Cu 2.55-2.67, 3 Rh 2.63-2.65
Rh 0.1897 0.5000 0.6325  8 Cu 2.63-2.67, 4 Rh 2.64-2.67